Cr2SbIr (GGA-PBE, optimized geometry); spin magnetization = 0.0 μB/f.u.; uncorrected energy = -30.579 eV for the cell shown; formation energy without anion corrections = 1.7 eV per formula unit
1.0
1.473 0.850 8.132
-1.473 0.850 8.132
0.000 -1.701 8.132
Cr Sb Ir
2 1 1
Direct
0.000 0.000 0.000
0.266 0.266 0.266
0.509 0.509 0.509
0.749 0.749 0.749